No. 1
First-principles (SCAN) data for a PBEsol-optimized structure of MgSbP2, as listed in Alexandria.

The calculated total energy comes out at -15.4623 eV/atom. The calculation puts the spin magnetization at 0.000 μB per atom. Its polymorph energy (0 for the lowest one) is 0.061 eV/atom. The calculation puts the energy relative to the elements, uncorrected at 6.817 kcal/mol of atoms.

The structure belongs to space group Fm-3m (No. 225); the cell edges are 6.696, 6.696 and 6.696 Å and the angles 90.00°, 90.00° and 90.00°. The distinct sites, in fractional coordinates, are Mg at (0.000, 0.000, 0.000), Sb at (0.000, 0.000, 0.500) and P at (0.250, 0.250, 0.250).



No. 2
First-principles (SCAN) data for a PBEsol-optimized structure of Mg2SbP, as listed in Alexandria.

The calculated total energy comes out at -14.5697 eV/atom. The calculation puts the spin magnetization at 0.000 μB per atom. Its polymorph energy (0 for the lowest one) is 0.102 eV/atom. The calculation puts the energy relative to the elements, uncorrected at -3.874 kcal/mol of atoms.

The structure belongs to space group Pmm2 (No. 25); the cell edges are 3.280, 5.593 and 4.628 Å and the angles 90.00°, 90.00° and 90.00°. The distinct sites, in fractional coordinates, are Mg at (0.000, 0.000, 0.000), Mg at (0.500, 0.500, 0.375), Sb at (0.500, 0.000, 0.504) and P at (0.000, 0.500, 0.899).



No. 3
First-principles (SCAN) data for a PBEsol-optimized structure of MgSb2TeP, as listed in Alexandria.

The calculated total energy comes out at -24.4627 eV/atom. The calculation puts the spin magnetization at 0.000 μB per atom. The calculation puts the energy relative to the elements, uncorrected at 22.282 kcal/mol of atoms.

The structure belongs to space group P4/mmm (No. 123); the cell edges are 5.237, 5.237 and 5.196 Å and the angles 90.00°, 90.00° and 90.00°. The distinct sites, in fractional coordinates, are Mg at (0.000, 0.000, 0.000), Sb at (0.000, 0.500, 0.000), Te at (0.000, 0.000, 0.500) and P at (0.500, 0.500, 0.500).



No. 4
First-principles (SCAN) data for a PBEsol-optimized structure of Mg2ScP, as listed in Alexandria.

The calculated total energy comes out at -9.0350 eV/atom. The calculation puts the spin magnetization at 0.000 μB per atom. The formation energy from the elements comes out at -389 meV/atom.

The structure belongs to space group I-42d (No. 122); the cell edges are 8.150, 8.150 and 5.207 Å and the angles 90.00°, 90.00° and 90.00°. The distinct sites, in fractional coordinates, are Mg at (0.177, 0.750, 0.125), Sc at (0.000, 0.000, 0.500) and P at (0.000, 0.000, 0.000).



No. 5
First-principles (SCAN) data for a PBEsol-optimized structure of Mg2ScP, as listed in Alexandria.

The calculated total energy comes out at -9.0554 eV/atom. The calculation puts the spin magnetization at 0.000 μB per atom. The formation energy from the elements comes out at -410 meV/atom.

The structure belongs to space group P4/mmm (No. 123); the cell edges are 3.984, 3.984 and 4.597 Å and the angles 90.00°, 90.00° and 90.00°. The distinct sites, in fractional coordinates, are Mg at (0.000, 0.500, 0.000), Sc at (0.000, 0.000, 0.500) and P at (0.500, 0.500, 0.500).



No. 6
First-principles (SCAN) data for a PBEsol-optimized structure of MgScP4, as listed in Alexandria.

The calculated total energy comes out at -10.0625 eV/atom. The calculation puts the spin magnetization at 0.000 μB per atom. The formation energy from the elements comes out at 72 meV/atom.

The structure belongs to space group F-43m (No. 216); the cell edges are 7.237, 7.237 and 7.237 Å and the angles 90.00°, 90.00° and 90.00°. The distinct sites, in fractional coordinates, are Mg at (0.000, 0.000, 0.000), Sc at (0.250, 0.250, 0.250) and P at (0.126, 0.126, 0.626).



No. 7
First-principles (SCAN) data for a PBEsol-optimized structure of Mg3ScP, as listed in Alexandria.

The calculated total energy comes out at -6.5008 eV/atom. The calculation puts the spin magnetization at 0.000 μB per atom. The formation energy from the elements comes out at 1411 meV/atom.

The structure belongs to space group Pm-3m (No. 221); the cell edges are 5.402, 5.402 and 5.402 Å and the angles 90.00°, 90.00° and 90.00°. The distinct sites, in fractional coordinates, are Mg at (0.000, 0.000, 0.500), Sc at (0.000, 0.000, 0.000) and P at (0.500, 0.500, 0.500).



No. 8
First-principles (SCAN) data for a PBEsol-optimized structure of MgP2Se, as listed in Alexandria.

The calculated total energy comes out at -11.1345 eV/atom. The calculation puts the spin magnetization at 0.000 μB per atom. Its polymorph energy (0 for the lowest one) is 0.676 eV/atom. The calculation puts the energy relative to the elements, uncorrected at 7.561 kcal/mol of atoms.

The structure belongs to space group P4/mmm (No. 123); the cell edges are 4.620, 4.620 and 3.150 Å and the angles 90.00°, 90.00° and 90.00°. The distinct sites, in fractional coordinates, are Mg at (0.000, 0.000, 0.000), P at (0.000, 0.500, 0.500) and Se at (0.500, 0.500, 0.000).